A relaxed structure of K3RbV4O12. Source: Alexandria via LeMat-Bulk, functional GGA+U.

Lattice parameters (Å, degrees): 13.3962 13.3962 7.2230 90.00 90.00 120.00
With the nearest neighbours (Å) after each atom.
Space group R32 (No. 155, hexagonal axes)
Asymmetric unit:
K: 0.0000 0.5727 0.0000  6 O 2.57-2.82
Rb: 0.0000 0.0000 0.0000  6 O 3.40, 2 V 3.61
V: 0.0000 0.0000 0.5000  3 O 1.68
V: 0.0000 0.4159 0.5000  3 O 1.69-1.72
O: 0.0000 0.5419 0.5000  1 V 1.69
O: 0.0000 0.8748 0.5000  1 V 1.68
O: 0.0508 0.2616 0.1516  1 V 1.72

Computed properties:
As for the mass density: 2.656 Mg/m³. For the total energy, the calculation gives -6.2465 eV per atom.